Entry from Alexandria: Nd4PNCl2 after structural relaxation (PBE).

Cell: 6.8843 3.9069 7.3545 Å, 90.00 108.19 90.00°
Space group P2/m (No. 10)
Inequivalent atoms, fractional coordinates:
Nd: 0.2084 0.0000 0.1958 [2 per cell]
Nd: 0.2307 0.5000 0.7981 [2 per cell]
P: 0.5000 0.0000 0.0000 [1 per cell]
N: 0.0000 0.5000 0.0000 [1 per cell]
Cl: 0.0000 0.0000 0.5000 [1 per cell]
Cl: 0.5000 0.5000 0.5000 [1 per cell]

DFT total energy: -6.0999 eV per atom
ΔE_f (raw): -1.54 eV per atom
Total moment: 0.0000 μB/atom

Entry from Alexandria: Sm4SbTe2P after structural relaxation (PBE).

Cell: 7.5603 4.3304 7.6675 Å, 90.00 108.99 90.00°
Space group P2/m (No. 10)
Inequivalent atoms, fractional coordinates:
Sm: 0.2243 0.0000 0.2189 [2 per cell]
Sm: 0.2393 0.5000 0.7719 [2 per cell]
Sb: 0.5000 0.0000 0.0000 [1 per cell]
Te: 0.0000 0.0000 0.5000 [1 per cell]
Te: 0.5000 0.5000 0.5000 [1 per cell]
P: 0.0000 0.5000 0.0000 [1 per cell]

DFT total energy: -5.7644 eV per atom
ΔE_f (raw): -1.43 eV per atom
Total moment: 0.0000 μB/atom

Entry from Alexandria: Co2PdPb after structural relaxation (PBE).

Cell: 3.8935 3.8935 18.5863 Å, 90.00 90.00 90.00°
Space group I-42d (No. 122)
Inequivalent atoms, fractional coordinates:
Co: 0.1633 0.2500 0.1250 [8 per cell]
Pd: 0.0000 0.0000 0.0000 [4 per cell]
Pb: 0.0000 0.0000 0.5000 [4 per cell]

DFT total energy: -5.2622 eV per atom
Total moment: 0.7761 μB/atom
Formation energy: 0.52 eV per atom

Entry from Alexandria: Tb2YAg after structural relaxation (PBE).

Cell: 5.4584 5.4584 3.7402 Å, 90.00 90.00 90.00°
Space group P4/mmm (No. 123)
Inequivalent atoms, fractional coordinates:
Tb: 0.0000 0.5000 0.0000 [2 per cell]
Y: 0.0000 0.0000 0.5000 [1 per cell]
Ag: 0.5000 0.5000 0.5000 [1 per cell]

DFT total energy: -4.6369 eV per atom
ΔE to the lowest computed polymorph: 135.3 meV per atom
Total moment: 0.0000 μB/atom
Formation energy: 0.01 eV per atom

Entry from Alexandria: Te3MoSe after structural relaxation (PBE).

Cell: 5.4084 5.4084 5.4084 Å, 90.00 90.00 90.00°
Space group Pm-3m (No. 221)
Inequivalent atoms, fractional coordinates:
Te: 0.0000 0.0000 0.5000 [3 per cell]
Mo: 0.5000 0.5000 0.5000 [1 per cell]
Se: 0.0000 0.0000 0.0000 [1 per cell]

DFT total energy: -3.6190 eV per atom
ΔE to the lowest computed polymorph: 633.1 meV per atom
ΔE_f (raw): 1.13 eV per atom
Total moment: 0.7116 μB/atom